# 1
Here is Ti3PtC after structural relaxation from Alexandria via LeMat-Bulk. Energies are from GGA-PBE.

Lattice parameters (Å, degrees): 3.087 5.751 8.356 90.00 90.00 105.57
Element x y z (fractional)
Pt 0.254 0.507 0.250
Ti 0.049 0.098 0.750
Ti 0.625 0.249 0.447
Ti 0.375 0.751 0.947
C 0.000 0.000 0.500
C 0.000 0.000 0.000
Ti 0.951 0.902 0.250
Pt 0.746 0.493 0.750
Ti 0.375 0.751 0.553
Ti 0.625 0.249 0.053

Values from the calculation:
* space group: Cmcm (63)
* polymorph energy (0 for the lowest one): 20 meV per atom
* total magnetic moment: 0.000 μB per atom
* energy of formation: -0.8044 eV/atom
* DOS(E_F): 0.8227 states/eV per atom

# 2
Here is CeIF2 after structural relaxation from Alexandria via LeMat-Bulk. Energies are from GGA-PBE.

Lattice parameters (Å, degrees): 4.175 4.176 6.344 109.22 90.00 119.99
Element x y z (fractional)
F 0.058 0.116 0.173
Ce 0.432 0.864 0.295
I 0.241 0.481 0.723
F 0.770 0.539 0.309

Values from the calculation:
* space group: R3m (160)
* polymorph energy (0 for the lowest one): 1 meV per atom
* total magnetic moment: 0.250 μB per atom
* energy relative to the elements, uncorrected: -3059 meV/atom
* DOS(E_F): 2.0508 states/eV per atom

# 3
Here is ZrSc2Si after structural relaxation from Alexandria via LeMat-Bulk. Energies are from GGA-PBE.

Lattice parameters (Å, degrees): 9.543 9.543 9.543 19.90 19.90 19.90
Element x y z (fractional)
Sc 0.996 0.996 0.996
Zr 0.239 0.239 0.239
Sc 0.764 0.764 0.764
Si 0.501 0.501 0.501

Values from the calculation:
* space group: R3m (160)
* total magnetic moment: 0.000 μB per atom
* energy relative to the elements, uncorrected: -139 meV/atom
* DOS(E_F): 1.0392 states/eV per atom

Question: Which of these has the lowest DOS(E_F)?
Answer: Ti3PtC